(1)
# SCAN TcAuS2N, PBEsol geometry
data_TcAuS2N
_chemical_formula_sum 'Tc1 Au1 S2 N1'
_symmetry_space_group_name_H-M 'P 4/m m m'
_symmetry_Int_Tables_number 123
_symmetry_space_group_name_Hall '-P 4 2'
_cell_length_a 4.9094
_cell_length_b 4.9094
_cell_length_c 3.6979
_cell_angle_alpha 90.00
_cell_angle_beta 90.00
_cell_angle_gamma 90.00
loop_
_atom_site_label
_atom_site_type_symbol
_atom_site_fract_x
_atom_site_fract_y
_atom_site_fract_z
Tc1 Tc 0.0000 0.0000 0.0000
Au1 Au 0.5000 0.5000 0.5000
S1 S 0.0000 0.5000 0.5000
N1 N 0.5000 0.5000 0.0000
# * raw formation energy: 7.025 eV per formula unit
# * D(E_F): 3.07 states/eV/f.u.
# * calculated volume: 89.1 Å³/cell

(2)
# SCAN AlFeIr, PBEsol geometry
data_AlFeIr
_chemical_formula_sum 'Al4 Fe4 Ir4'
_symmetry_space_group_name_H-M 'F -4 3 m'
_symmetry_Int_Tables_number 216
_symmetry_space_group_name_Hall 'F -4 2 3'
_cell_length_a 5.5453
_cell_length_b 5.5453
_cell_length_c 5.5453
_cell_angle_alpha 90.00
_cell_angle_beta 90.00
_cell_angle_gamma 90.00
loop_
_atom_site_label
_atom_site_type_symbol
_atom_site_fract_x
_atom_site_fract_y
_atom_site_fract_z
Al1 Al 0.0000 0.0000 0.0000
Fe1 Fe 0.2500 0.2500 0.7500
Ir1 Ir 0.0000 0.0000 0.5000
# * energy of formation: -0.076 eV/atom
# * D(E_F): 2.39 states/eV/f.u.
# * calculated volume: 170.5 Å³/cell

(3)
# SCAN TeMo2W, PBEsol geometry
data_TeMo2W
_chemical_formula_sum 'Te2 Mo4 W2'
_symmetry_space_group_name_H-M 'C 1 2/m 1'
_symmetry_Int_Tables_number 12
_cell_length_a 5.7362
_cell_length_b 8.2778
_cell_length_c 2.9882
_cell_angle_alpha 90.00
_cell_angle_beta 108.21
_cell_angle_gamma 90.00
loop_
_symmetry_equiv_pos_as_xyz
'x,y,z'
'-x,-y,-z'
'-x,y,-z'
'x,-y,z'
'x+1/2,y+1/2,z'
'-x+1/2,-y+1/2,-z'
'-x+1/2,y+1/2,-z'
'x+1/2,-y+1/2,z'
loop_
_atom_site_label
_atom_site_type_symbol
_atom_site_fract_x
_atom_site_fract_y
_atom_site_fract_z
Te1 Te 0.0000 0.0000 0.0000
Mo1 Mo 0.2500 0.2500 0.5000
W1 W 0.0000 0.5000 0.0000
# * raw formation energy: 2.755 eV per formula unit
# * D(E_F): 3.36 states/eV/f.u.
# * calculated volume: 134.8 Å³/cell

(4)
# SCAN In8Ag, PBEsol geometry
data_In8Ag
_chemical_formula_sum 'In16 Ag2'
_symmetry_space_group_name_H-M 'I 4/m m m'
_symmetry_Int_Tables_number 139
_symmetry_space_group_name_Hall '-I 4 2'
_cell_length_a 9.8406
_cell_length_b 9.8406
_cell_length_c 4.4409
_cell_angle_alpha 90.00
_cell_angle_beta 90.00
_cell_angle_gamma 90.00
loop_
_atom_site_label
_atom_site_type_symbol
_atom_site_fract_x
_atom_site_fract_y
_atom_site_fract_z
In1 In 0.0000 0.3279 0.0000
In2 In 0.1600 0.1600 0.5000
Ag1 Ag 0.0000 0.0000 0.0000
# * energy of formation: 0.082 eV/atom
# * D(E_F): 3.57 states/eV/f.u.
# * calculated volume: 430.0 Å³/cell

(5)
# SCAN Mg2TaW, PBEsol geometry
data_Mg2TaW
_chemical_formula_sum 'Mg2 Ta1 W1'
_symmetry_space_group_name_H-M 'P 4/m m m'
_symmetry_Int_Tables_number 123
_symmetry_space_group_name_Hall '-P 4 2'
_cell_length_a 3.5523
_cell_length_b 3.5523
_cell_length_c 5.5301
_cell_angle_alpha 90.00
_cell_angle_beta 90.00
_cell_angle_gamma 90.00
loop_
_atom_site_label
_atom_site_type_symbol
_atom_site_fract_x
_atom_site_fract_y
_atom_site_fract_z
Mg1 Mg 0.0000 0.0000 0.2420
Ta1 Ta 0.5000 0.5000 0.5000
W1 W 0.5000 0.5000 0.0000
# * energy of formation: 0.814 eV/atom
# * D(E_F): 4.30 states/eV/f.u.
# * calculated volume: 69.8 Å³/cell

(6)
# SCAN Y4MnS7, PBEsol geometry
data_Y4MnS7
_chemical_formula_sum 'Y8 Mn2 S14'
_symmetry_space_group_name_H-M 'C 1 m 1'
_symmetry_Int_Tables_number 8
_cell_length_a 12.3454
_cell_length_b 3.7613
_cell_length_c 11.2802
_cell_angle_alpha 90.00
_cell_angle_beta 105.30
_cell_angle_gamma 90.00
loop_
_symmetry_equiv_pos_as_xyz
'x,y,z'
'x,-y,z'
'x+1/2,y+1/2,z'
'x+1/2,-y+1/2,z'
loop_
_atom_site_label
_atom_site_type_symbol
_atom_site_fract_x
_atom_site_fract_y
_atom_site_fract_z
Y1 Y 0.0000 0.0000 0.0000
Y2 Y 0.0783 0.5000 0.3591
Y3 Y 0.1929 0.5000 0.8012
Y4 Y 0.3848 0.0000 0.5934
Mn1 Mn 0.3095 0.5000 0.2171
S1 S 0.0315 0.0000 0.7423
S2 S 0.1599 0.5000 0.0224
S3 S 0.1994 0.0000 0.2894
S4 S 0.2279 0.5000 0.5787
S5 S 0.3553 0.0000 0.8451
S6 S 0.4205 0.0000 0.1448
S7 S 0.4477 0.5000 0.4328
# * raw formation energy: -26.037 eV per formula unit
# * calculated volume: 505.2 Å³/cell

(7)
# SCAN InGeCl3, PBEsol geometry
data_InGeCl3
_chemical_formula_sum 'In2 Ge2 Cl6'
_symmetry_space_group_name_H-M 'C 1 m 1'
_symmetry_Int_Tables_number 8
_cell_length_a 7.7934
_cell_length_b 7.1085
_cell_length_c 5.2254
_cell_angle_alpha 90.00
_cell_angle_beta 91.36
_cell_angle_gamma 90.00
loop_
_symmetry_equiv_pos_as_xyz
'x,y,z'
'x,-y,z'
'x+1/2,y+1/2,z'
'x+1/2,-y+1/2,z'
loop_
_atom_site_label
_atom_site_type_symbol
_atom_site_fract_x
_atom_site_fract_y
_atom_site_fract_z
In1 In 0.0000 0.0000 0.0000
Ge1 Ge 0.0907 0.5000 0.4472
Cl1 Cl 0.1173 0.5000 0.9692
Cl2 Cl 0.3809 0.2486 0.4415
# * raw formation energy: -4.174 eV per formula unit
# * D(E_F): 0.00 states/eV/f.u.
# * calculated volume: 289.4 Å³/cell

(8)
# SCAN TiReBH2, PBEsol geometry
data_TiReBH2
_chemical_formula_sum 'Ti1 Re1 B1 H2'
_symmetry_space_group_name_H-M 'P 4/m m m'
_symmetry_Int_Tables_number 123
_symmetry_space_group_name_Hall '-P 4 2'
_cell_length_a 3.4235
_cell_length_b 3.4235
_cell_length_c 4.4020
_cell_angle_alpha 90.00
_cell_angle_beta 90.00
_cell_angle_gamma 90.00
loop_
_atom_site_label
_atom_site_type_symbol
_atom_site_fract_x
_atom_site_fract_y
_atom_site_fract_z
Ti1 Ti 0.0000 0.0000 0.0000
Re1 Re 0.5000 0.5000 0.0000
B1 B 0.0000 0.0000 0.5000
H1 H 0.0000 0.5000 0.5000
# * energy: -0.693 hartree per atom
# * D(E_F): 3.18 states/eV/f.u.
# * calculated volume: 51.6 Å³/cell

Table of total moment (μB per formula unit), in record order: 4.704 0.002 0.000 0.000 0.000 5.000 0.000 1.216